(1)
# CaPdIN2 | Alexandria via LeMat-Bulk | SCAN | PBEsol geometry
data_CaPdIN2
_chemical_formula_sum 'Ca1 Pd1 I1 N2'
_space_group_name_H-M_alt 'P 1'
_space_group_IT_number 1
_cell_length_a 4.373
_cell_length_b 4.373
_cell_length_c 6.172
_cell_angle_alpha 90.00
_cell_angle_beta 90.00
_cell_angle_gamma 90.00
loop_
_space_group_symop_operation_xyz
'x,y,z'
loop_
_atom_site_label
_atom_site_type_symbol
_atom_site_fract_x
_atom_site_fract_y
_atom_site_fract_z
_atom_site_occupancy
I1 I 0.000 0.000 0.500 1
Ca1 Ca 0.000 0.000 0.000 1
Pd1 Pd 0.500 0.500 0.500 1
N1 N 0.000 0.500 0.000 1
N2 N 0.500 0.000 0.000 1
# Fermi-level density of states in states/eV per cell: 1.99
# Calculated density in g/cm³: 4.2
# SG: No. 123
# Uncorrected energy in eV/atom: -18.3677

***

(2)
# Sr4YMg | Alexandria via LeMat-Bulk | SCAN | PBEsol geometry
data_Sr4YMg
_chemical_formula_sum 'Sr4 Y1 Mg1'
_space_group_name_H-M_alt 'P 1'
_space_group_IT_number 1
_cell_length_a 7.157
_cell_length_b 7.157
_cell_length_c 7.157
_cell_angle_alpha 60.00
_cell_angle_beta 60.00
_cell_angle_gamma 60.00
loop_
_space_group_symop_operation_xyz
'x,y,z'
loop_
_atom_site_label
_atom_site_type_symbol
_atom_site_fract_x
_atom_site_fract_y
_atom_site_fract_z
_atom_site_occupancy
Mg1 Mg 0.000 0.000 0.000 1
Sr1 Sr 0.375 0.375 0.375 1
Sr2 Sr 0.375 0.375 0.874 1
Sr3 Sr 0.874 0.375 0.375 1
Sr4 Sr 0.375 0.874 0.375 1
Y1 Y 0.750 0.750 0.750 1
# Fermi-level density of states in states/eV per cell: 7.10
# Calculated density in g/cm³: 3.0
# SG: No. 216
# Energy relative to the elements in meV per atom: 442
# Uncorrected energy in eV/atom: -19.8775

***

(3)
# FeTcB2Ir | Alexandria via LeMat-Bulk | SCAN | PBEsol geometry
data_FeTcB2Ir
_chemical_formula_sum 'Fe1 Tc1 B2 Ir1'
_space_group_name_H-M_alt 'P 1'
_space_group_IT_number 1
_cell_length_a 3.959
_cell_length_b 3.959
_cell_length_c 4.758
_cell_angle_alpha 90.00
_cell_angle_beta 90.00
_cell_angle_gamma 90.00
loop_
_space_group_symop_operation_xyz
'x,y,z'
loop_
_atom_site_label
_atom_site_type_symbol
_atom_site_fract_x
_atom_site_fract_y
_atom_site_fract_z
_atom_site_occupancy
B1 B 0.000 0.500 0.000 1
B2 B 0.500 0.000 0.000 1
Ir1 Ir 0.000 0.000 0.500 1
Tc1 Tc 0.000 0.000 0.000 1
Fe1 Fe 0.500 0.500 0.500 1
# Fermi-level density of states in states/eV per cell: 2.85
# Calculated density in g/cm³: 8.2
# SG: No. 123
# Energy relative to the elements in meV per atom: 1359
# Uncorrected energy in eV/atom: -26.4710

***

(4)
# ScH2Pd | Alexandria via LeMat-Bulk | SCAN | PBEsol geometry
data_ScH2Pd
_chemical_formula_sum 'Sc2 H4 Pd2'
_space_group_name_H-M_alt 'P 1'
_space_group_IT_number 1
_cell_length_a 4.207
_cell_length_b 4.207
_cell_length_c 5.597
_cell_angle_alpha 112.08
_cell_angle_beta 112.08
_cell_angle_gamma 90.00
loop_
_space_group_symop_operation_xyz
'x,y,z'
loop_
_atom_site_label
_atom_site_type_symbol
_atom_site_fract_x
_atom_site_fract_y
_atom_site_fract_z
_atom_site_occupancy
Sc1 Sc 0.750 0.250 0.500 1
Sc2 Sc 0.500 0.500 0.000 1
H1 H 0.323 0.875 0.250 1
H2 H 0.927 0.375 0.250 1
H3 H 0.125 0.073 0.750 1
H4 H 0.625 0.677 0.750 1
Pd1 Pd 0.250 0.750 0.500 1
Pd2 Pd 0.000 0.000 0.000 1
# Fermi-level density of states in states/eV per cell: 5.61
# Calculated density in g/cm³: 6.1
# SG: No. 122
# Uncorrected energy in eV/atom: -13.9141

***

(5)
# SbRh2W | Alexandria via LeMat-Bulk | SCAN | PBEsol geometry
data_SbRh2W
_chemical_formula_sum 'Sb1 Rh2 W1'
_space_group_name_H-M_alt 'P 1'
_space_group_IT_number 1
_cell_length_a 2.980
_cell_length_b 2.980
_cell_length_c 7.130
_cell_angle_alpha 90.00
_cell_angle_beta 90.00
_cell_angle_gamma 90.00
loop_
_space_group_symop_operation_xyz
'x,y,z'
loop_
_atom_site_label
_atom_site_type_symbol
_atom_site_fract_x
_atom_site_fract_y
_atom_site_fract_z
_atom_site_occupancy
Rh1 Rh 0.000 0.000 0.986 1
Rh2 Rh 0.500 0.500 0.261 1
Sb1 Sb 0.000 0.000 0.484 1
W1 W 0.500 0.500 0.769 1
# Fermi-level density of states in states/eV per cell: 3.85
# Calculated density in g/cm³: 13.4
# SG: No. 99
# Uncorrected energy in eV/atom: -43.4554

***

(6)
# CaBiF6 | Alexandria via LeMat-Bulk | SCAN | PBEsol geometry
data_CaBiF6
_chemical_formula_sum 'Ca1 Bi1 F6'
_space_group_name_H-M_alt 'P 1'
_space_group_IT_number 1
_cell_length_a 5.624
_cell_length_b 5.624
_cell_length_c 6.121
_cell_angle_alpha 62.65
_cell_angle_beta 62.65
_cell_angle_gamma 60.00
loop_
_space_group_symop_operation_xyz
'x,y,z'
loop_
_atom_site_label
_atom_site_type_symbol
_atom_site_fract_x
_atom_site_fract_y
_atom_site_fract_z
_atom_site_occupancy
Ca1 Ca 0.500 0.500 0.500 1
Bi1 Bi 0.000 0.000 0.000 1
F1 F 0.370 0.117 0.757 1
F2 F 0.117 0.756 0.757 1
F3 F 0.244 0.630 0.243 1
F4 F 0.883 0.244 0.243 1
F5 F 0.630 0.883 0.243 1
F6 F 0.756 0.370 0.757 1
# Fermi-level density of states in states/eV per cell: 0.20
# Calculated density in g/cm³: 4.2
# SG: No. 148
# Uncorrected energy in eV/atom: -16.4636

***

(7)
# PrHSe | Alexandria via LeMat-Bulk | SCAN | PBEsol geometry
data_PrHSe
_chemical_formula_sum 'Pr2 H2 Se2'
_space_group_name_H-M_alt 'P 1'
_space_group_IT_number 1
_cell_length_a 3.995
_cell_length_b 3.995
_cell_length_c 7.894
_cell_angle_alpha 90.00
_cell_angle_beta 90.00
_cell_angle_gamma 120.00
loop_
_space_group_symop_operation_xyz
'x,y,z'
loop_
_atom_site_label
_atom_site_type_symbol
_atom_site_fract_x
_atom_site_fract_y
_atom_site_fract_z
_atom_site_occupancy
Pr1 Pr 0.333 0.667 0.250 1
Pr2 Pr 0.667 0.333 0.750 1
H1 H 0.333 0.667 0.750 1
H2 H 0.667 0.333 0.250 1
Se1 Se 0.000 0.000 0.500 1
Se2 Se 0.000 0.000 0.000 1
# Fermi-level density of states in states/eV per cell: 0.00
# Calculated density in g/cm³: 6.7
# SG: No. 194
# Uncorrected energy in eV/atom: -23.9286

***

(8)
# SrBe3Pb | Alexandria via LeMat-Bulk | SCAN | PBEsol geometry
data_SrBe3Pb
_chemical_formula_sum 'Sr1 Be3 Pb1'
_space_group_name_H-M_alt 'P 1'
_space_group_IT_number 1
_cell_length_a 4.816
_cell_length_b 4.816
_cell_length_c 4.816
_cell_angle_alpha 90.00
_cell_angle_beta 90.00
_cell_angle_gamma 90.00
loop_
_space_group_symop_operation_xyz
'x,y,z'
loop_
_atom_site_label
_atom_site_type_symbol
_atom_site_fract_x
_atom_site_fract_y
_atom_site_fract_z
_atom_site_occupancy
Pb1 Pb 0.000 0.000 0.000 1
Sr1 Sr 0.500 0.500 0.500 1
Be1 Be 0.000 0.500 0.000 1
Be2 Be 0.000 0.000 0.500 1
Be3 Be 0.500 0.000 0.000 1
# Fermi-level density of states in states/eV per cell: 3.77
# Calculated density in g/cm³: 4.8
# SG: No. 221
# Energy relative to the elements in meV per atom: 885
# Uncorrected energy in eV/atom: -21.3388

***

(9)
# Tc2MoIr | Alexandria via LeMat-Bulk | SCAN | PBEsol geometry
data_Tc2MoIr
_chemical_formula_sum 'Tc2 Mo1 Ir1'
_space_group_name_H-M_alt 'P 1'
_space_group_IT_number 1
_cell_length_a 3.849
_cell_length_b 3.849
_cell_length_c 3.850
_cell_angle_alpha 90.00
_cell_angle_beta 90.00
_cell_angle_gamma 90.00
loop_
_space_group_symop_operation_xyz
'x,y,z'
loop_
_atom_site_label
_atom_site_type_symbol
_atom_site_fract_x
_atom_site_fract_y
_atom_site_fract_z
_atom_site_occupancy
Mo1 Mo 0.000 0.000 0.500 1
Ir1 Ir 0.500 0.500 0.500 1
Tc1 Tc 0.000 0.500 0.000 1
Tc2 Tc 0.500 0.000 0.000 1
# Fermi-level density of states in states/eV per cell: 3.31
# Calculated density in g/cm³: 14.1
# E above lowest polymorph in meV/atom: 0
# SG: No. 123
# Energy relative to the elements in meV per atom: -178
# Uncorrected energy in eV/atom: -44.2036

***

(10)
# SmGdCo17 | Alexandria via LeMat-Bulk | SCAN | PBEsol geometry
data_SmGdCo17
_chemical_formula_sum 'Sm1 Gd1 Co17'
_space_group_name_H-M_alt 'P 1'
_space_group_IT_number 1
_cell_length_a 6.178
_cell_length_b 6.178
_cell_length_c 6.178
_cell_angle_alpha 83.05
_cell_angle_beta 83.05
_cell_angle_gamma 83.05
loop_
_space_group_symop_operation_xyz
'x,y,z'
loop_
_atom_site_label
_atom_site_type_symbol
_atom_site_fract_x
_atom_site_fract_y
_atom_site_fract_z
_atom_site_occupancy
Sm1 Sm 0.655 0.655 0.655 1
Gd1 Gd 0.344 0.344 0.344 1
Co1 Co 0.287 0.000 0.713 1
Co2 Co 0.000 0.713 0.287 1
Co3 Co 0.713 0.287 0.000 1
Co4 Co 0.000 0.287 0.713 1
Co5 Co 0.287 0.713 0.000 1
Co6 Co 0.713 0.000 0.287 1
Co7 Co 0.655 0.149 0.655 1
Co8 Co 0.149 0.655 0.655 1
Co9 Co 0.655 0.655 0.149 1
Co10 Co 0.345 0.852 0.345 1
Co11 Co 0.852 0.345 0.345 1
Co12 Co 0.345 0.345 0.852 1
Co13 Co 0.000 0.500 0.000 1
Co14 Co 0.500 0.000 0.000 1
Co15 Co 0.000 0.000 0.500 1
Co16 Co 0.097 0.097 0.097 1
Co17 Co 0.904 0.904 0.904 1
# Fermi-level density of states in states/eV per cell: 15.94
# Calculated density in g/cm³: 9.4
# SG: No. 160
# Energy relative to the elements in meV per atom: -7
# Uncorrected energy in eV/atom: -20.9248

***

Copy entry 8 word for word.
# SrBe3Pb | Alexandria via LeMat-Bulk | SCAN | PBEsol geometry
data_SrBe3Pb
_chemical_formula_sum 'Sr1 Be3 Pb1'
_space_group_name_H-M_alt 'P 1'
_space_group_IT_number 1
_cell_length_a 4.816
_cell_length_b 4.816
_cell_length_c 4.816
_cell_angle_alpha 90.00
_cell_angle_beta 90.00
_cell_angle_gamma 90.00
loop_
_space_group_symop_operation_xyz
'x,y,z'
loop_
_atom_site_label
_atom_site_type_symbol
_atom_site_fract_x
_atom_site_fract_y
_atom_site_fract_z
_atom_site_occupancy
Pb1 Pb 0.000 0.000 0.000 1
Sr1 Sr 0.500 0.500 0.500 1
Be1 Be 0.000 0.500 0.000 1
Be2 Be 0.000 0.000 0.500 1
Be3 Be 0.500 0.000 0.000 1
# Fermi-level density of states in states/eV per cell: 3.77
# Calculated density in g/cm³: 4.8
# SG: No. 221
# Energy relative to the elements in meV per atom: 885
# Uncorrected energy in eV/atom: -21.3388

***

What is the formula in the ninth record?
Tc2MoIr

***

Which of these has the lowest Fermi-level density of states?
PrHSe

***

Which of these has the lowest calculated density?
Sr4YMg